[1]
! P2Br | Alexandria | PBE | optimized geometry; values from VASP
&SYSTEM
  ibrav = 0, nat = 3, ntyp = 2
/
ATOMIC_SPECIES
P 30.97 P.upf
Br 79.90 Br.upf
CELL_PARAMETERS angstrom
0.000 3.216 3.216
3.216 0.000 3.216
3.216 3.216 0.000
ATOMIC_POSITIONS angstrom
P 1.608 1.608 1.608
P 4.824 4.824 4.824
Br 0.000 0.000 0.000
! Uncorrected formation energy, eV/atom: 1.530
! Energy above the lowest structure with this stoichiometry, eV per atom: 1.581
! Space group: Fm-3m (225)



[2]
! K8H8Pd3 | Alexandria | PBE | optimized geometry; values from VASP
&SYSTEM
  ibrav = 0, nat = 19, ntyp = 3
/
ATOMIC_SPECIES
K 39.10 K.upf
H 1.01 H.upf
Pd 106.42 Pd.upf
CELL_PARAMETERS angstrom
10.133 -2.724 0.000
10.133 2.724 0.000
-2.597 0.000 7.576
ATOMIC_POSITIONS angstrom
K -0.157 0.000 2.069
K 2.140 0.000 6.010
K 5.305 0.000 4.163
K 7.742 0.000 0.469
K 9.926 0.000 7.107
K 12.364 0.000 3.413
K 15.529 0.000 1.565
K 17.826 0.000 5.507
H 2.137 0.000 0.027
H 2.500 0.000 3.081
H 4.949 0.000 1.359
H 7.954 0.000 5.233
H 9.715 0.000 2.342
H 12.720 0.000 6.217
H 15.168 0.000 4.494
H 15.532 0.000 7.549
Pd 3.176 0.000 1.442
Pd 8.834 0.000 3.788
Pd 14.493 0.000 6.134
! Raw total energy, eV per atom: -2.92
! Space group: C2/m (12)